The following is a DFT calculation (PBE with a Hubbard U) of a geometry-optimized NiAg2SnF8 structure.

abc: 5.3406 5.5312 6.5073
angles: 89.90 89.92 87.22
Space group P-1 (No. 2)
One atom of each set of equivalent atoms:
Ni (0.0000, 0.0000, 0.0000)
Ag (0.5000, 0.5003, 0.2295)
Sn (0.0000, 0.0000, 0.5000)
F (0.1691, 0.1663, 0.2624)
F (0.1688, 0.1666, 0.7367)
F (0.2602, 0.7488, 0.9998)
F (0.2716, 0.7393, 0.5002)

Summary:
E ... -4.15 eV per atom
Calculated volume ... 192.00 Å³ per cell
Calculated density ... 4.71 Mg/m³